Entry 1:
The following is a DFT calculation (PBE) of an optimized crystal structure of SiTcRu2.

The structure in POSCAR format:
```
SiTcRu2
1.0
5.073 0.002 0.013
4.252 2.766 0.013
1.846 0.548 3.889
Si Ru Tc
1 2 1
Direct
0.497 0.497 0.503
0.779 0.779 0.721
0.999 0.999 0.001
0.225 0.225 0.275
```

## Properties
ΔE_f (raw), meV/atom: -257
Energy, eV/f.u.: -35.37
Total magnetic moment, μB/atom: 0.000


Entry 2:
The following is a DFT calculation (PBE) of an optimized crystal structure of Si2TcRu.

The structure in POSCAR format:
```
Si2TcRu
1.0
-3.897 -1.730 0.438
-1.896 -1.887 -3.349
-0.475 -4.259 -0.074
Ru Si Tc
1 2 1
Direct
0.500 0.500 0.500
0.250 0.250 0.250
0.000 0.000 0.000
0.750 0.750 0.750
```

## Properties
ΔE_f (raw), meV/atom: 111
Energy, eV/f.u.: -30.04
Total magnetic moment, μB/atom: 0.000


Entry 3:
The following is a DFT calculation (PBE) of an optimized crystal structure of Si4TcRu2.

The structure in POSCAR format:
```
Si4TcRu2
1.0
-2.328 -3.057 2.319
0.109 -2.764 -3.534
4.043 -5.297 1.418
Si Ru Tc
4 2 1
Direct
0.797 0.797 0.405
0.000 0.500 0.000
0.500 0.000 0.000
0.203 0.203 0.595
0.609 0.609 0.782
0.391 0.391 0.218
0.000 0.000 0.000
```

## Properties
ΔE_f (raw), meV/atom: 418
Energy, eV/f.u.: -47.68
Total magnetic moment, μB/atom: 0.137


Entry 4:
The following is a DFT calculation (PBE) of an optimized crystal structure of SiTcRu2.

The structure in POSCAR format:
```
SiTcRu2
1.0
4.967 -0.001 0.000
-2.209 4.448 0.000
0.589 0.951 2.530
Si Ru Tc
1 2 1
Direct
0.500 0.000 0.500
0.000 0.000 0.000
0.500 0.500 0.000
0.000 0.500 0.500
```

## Properties
ΔE_f (raw), meV/atom: 124
Energy, eV/f.u.: -33.85
Total magnetic moment, μB/atom: 0.000


Entry 5:
The following is a DFT calculation (PBE) of an optimized crystal structure of SiTcRu2.

The structure in POSCAR format:
```
SiTcRu2
1.0
2.780 0.000 0.000
1.390 2.408 0.000
1.390 0.803 8.217
Si Tc Ru
1 1 2
Direct
0.666 0.666 0.001
0.500 0.500 0.500
0.080 0.080 0.760
0.254 0.254 0.239
```

## Properties
ΔE_f (raw), meV/atom: -200
Energy, eV/f.u.: -35.14
Total magnetic moment, μB/atom: 0.000


Entry 6:
The following is a DFT calculation (PBE) of an optimized crystal structure of Si2TcRu.

The structure in POSCAR format:
```
Si2TcRu
1.0
4.663 0.000 0.001
3.754 2.767 0.001
1.180 0.388 4.100
Tc Ru Si
1 1 2
Direct
0.503 0.503 0.429
0.746 0.746 0.821
0.248 0.248 0.307
0.002 0.002 0.943
```

## Properties
ΔE_f (raw), meV/atom: -478
Energy, eV/f.u.: -32.40
Total magnetic moment, μB/atom: 0.000


Entry 7:
The following is a DFT calculation (PBE) of an optimized crystal structure of SiTcRu2.

The structure in POSCAR format:
```
SiTcRu2
1.0
3.964 0.000 0.000
0.000 2.765 -0.009
0.000 1.391 5.028
Ru Si Tc
2 1 1
Direct
0.000 0.062 0.001
0.500 0.437 0.254
0.000 0.302 0.517
0.500 0.699 0.728
```

## Properties
ΔE_f (raw), meV/atom: -168
Energy, eV/f.u.: -35.01
Total magnetic moment, μB/atom: 0.000


Entry 8:
The following is a DFT calculation (PBE) of an optimized crystal structure of SiTcRu2.

The structure in POSCAR format:
```
SiTcRu2
1.0
-1.801 -7.832 -2.841
0.880 -7.733 -3.476
0.090 -8.471 -0.941
Tc Si Ru
1 1 2
Direct
0.753 0.753 0.753
0.502 0.502 0.502
0.245 0.245 0.245
0.001 0.001 0.001
```

## Properties
ΔE_f (raw), meV/atom: -95
Energy, eV/f.u.: -34.72
Total magnetic moment, μB/atom: 0.000